(1)
A plane-wave DFT calculation with PBE was carried out for a relaxed structure of Pu2Zn2Ge3.

CIF file:
```
data_Pu2Zn2Ge3
_cell_length_a 4.420
_cell_length_b 18.735
_cell_length_c 6.770
_cell_angle_alpha 90.00
_cell_angle_beta 90.00
_cell_angle_gamma 90.00
_symmetry_space_group_name_H-M 'C m c m'
_symmetry_Int_Tables_number 63
_symmetry_space_group_name_Hall '-C 2c 2'
loop_
_atom_site_label
_atom_site_type_symbol
_atom_site_fract_x
_atom_site_fract_y
_atom_site_fract_z
_atom_site_occupancy
Pu1 Pu 0.000 0.045 0.250 1
Pu2 Pu 0.000 0.155 0.750 1
Zn1 Zn 0.000 0.309 0.554 1
Ge1 Ge 0.000 0.216 0.250 1
Ge2 Ge 0.000 0.436 0.063 1
```

Calculated values
Magnetic moment, μB per atom: 0.0151
Energy of formation, eV per atom: -0.312


(2)
A plane-wave DFT calculation with PBE was carried out for a relaxed structure of Pu4ZnGe8.

CIF file:
```
data_Pu4ZnGe8
_cell_length_a 4.001
_cell_length_b 4.225
_cell_length_c 16.097
_cell_angle_alpha 90.00
_cell_angle_beta 90.00
_cell_angle_gamma 90.00
_symmetry_space_group_name_H-M 'P m m 2'
_symmetry_Int_Tables_number 25
loop_
_symmetry_equiv_pos_as_xyz
'x,y,z'
'-x,-y,z'
'-x,y,z'
'x,-y,z'
loop_
_atom_site_label
_atom_site_type_symbol
_atom_site_fract_x
_atom_site_fract_y
_atom_site_fract_z
_atom_site_occupancy
Pu1 Pu 0.000 0.000 0.000 1
Pu2 Pu 0.000 0.500 0.476 1
Pu3 Pu 0.500 0.000 0.793 1
Pu4 Pu 0.500 0.500 0.283 1
Zn1 Zn 0.000 0.500 0.712 1
Ge1 Ge 0.000 0.000 0.322 1
Ge2 Ge 0.000 0.000 0.618 1
Ge3 Ge 0.000 0.500 0.137 1
Ge4 Ge 0.000 0.500 0.863 1
Ge5 Ge 0.500 0.000 0.146 1
Ge6 Ge 0.500 0.000 0.429 1
Ge7 Ge 0.500 0.500 0.617 1
Ge8 Ge 0.500 0.500 0.965 1
```

Calculated values
Magnetic moment, μB per atom: 1.5974
Energy of formation, eV per atom: -0.303


(3)
A plane-wave DFT calculation with PBE was carried out for a relaxed structure of Pu2Zn3Ge4.

CIF file:
```
data_Pu2Zn3Ge4
_cell_length_a 5.789
_cell_length_b 14.964
_cell_length_c 7.852
_cell_angle_alpha 90.00
_cell_angle_beta 90.00
_cell_angle_gamma 90.00
_symmetry_space_group_name_H-M 'C m c e'
_symmetry_Int_Tables_number 64
_symmetry_space_group_name_Hall '-C 2ac 2'
loop_
_atom_site_label
_atom_site_type_symbol
_atom_site_fract_x
_atom_site_fract_y
_atom_site_fract_z
_atom_site_occupancy
Pu1 Pu 0.000 0.113 0.079 1
Zn1 Zn 0.000 0.000 0.500 1
Zn2 Zn 0.250 0.216 0.750 1
Ge1 Ge 0.000 0.184 0.449 1
Ge2 Ge 0.250 0.048 0.750 1
```

Calculated values
Magnetic moment, μB per atom: 1.1616
Energy of formation, eV per atom: -0.261


(4)
A plane-wave DFT calculation with PBE was carried out for a relaxed structure of Pu5ZnGe4.

CIF file:
```
data_Pu5ZnGe4
_cell_length_a 3.871
_cell_length_b 3.871
_cell_length_c 14.409
_cell_angle_alpha 90.00
_cell_angle_beta 90.00
_cell_angle_gamma 90.00
_symmetry_space_group_name_H-M 'P 4/m m m'
_symmetry_Int_Tables_number 123
_symmetry_space_group_name_Hall '-P 4 2'
loop_
_atom_site_label
_atom_site_type_symbol
_atom_site_fract_x
_atom_site_fract_y
_atom_site_fract_z
_atom_site_occupancy
Pu1 Pu 0.000 0.000 0.000 1
Pu2 Pu 0.000 0.000 0.199 1
Pu3 Pu 0.000 0.000 0.394 1
Zn1 Zn 0.500 0.500 0.500 1
Ge1 Ge 0.500 0.500 0.101 1
Ge2 Ge 0.500 0.500 0.298 1
```

Calculated values
Magnetic moment, μB per atom: 2.6661
Energy of formation, eV per atom: -0.368


(5)
A plane-wave DFT calculation with PBE was carried out for a relaxed structure of Pu2ZnGe3.

CIF file:
```
data_Pu2ZnGe3
_cell_length_a 3.528
_cell_length_b 4.489
_cell_length_c 7.767
_cell_angle_alpha 90.00
_cell_angle_beta 90.00
_cell_angle_gamma 90.00
_symmetry_space_group_name_H-M 'P m m 2'
_symmetry_Int_Tables_number 25
loop_
_symmetry_equiv_pos_as_xyz
'x,y,z'
'-x,-y,z'
'-x,y,z'
'x,-y,z'
loop_
_atom_site_label
_atom_site_type_symbol
_atom_site_fract_x
_atom_site_fract_y
_atom_site_fract_z
_atom_site_occupancy
Pu1 Pu 0.000 0.000 0.000 1
Pu2 Pu 0.000 0.500 0.478 1
Zn1 Zn 0.500 0.500 0.817 1
Ge1 Ge 0.500 0.000 0.327 1
Ge2 Ge 0.500 0.000 0.663 1
Ge3 Ge 0.500 0.500 0.147 1
```

Calculated values
Magnetic moment, μB per atom: 1.8550
Energy of formation, eV per atom: -0.303


(6)
A plane-wave DFT calculation with PBE was carried out for a relaxed structure of PuZnGe2.

CIF file:
```
data_PuZnGe2
_cell_length_a 4.3500
_cell_length_b 4.3500
_cell_length_c 14.5880
_cell_angle_alpha 90.00
_cell_angle_beta 90.00
_cell_angle_gamma 120.00
_symmetry_space_group_name_H-M 'R -3 m'
_symmetry_Int_Tables_number 166
_symmetry_space_group_name_Hall '-R 3 2"'
loop_
_atom_site_label
_atom_site_type_symbol
_atom_site_fract_x
_atom_site_fract_y
_atom_site_fract_z
_atom_site_occupancy
Pu1 Pu 0.0000 0.0000 0.0000 1
Zn1 Zn 0.0000 0.0000 0.5000 1
Ge1 Ge 0.0000 0.0000 0.2249 1
```

Calculated values
Magnetic moment, μB per atom: 1.3805
Energy of formation, eV per atom: -0.184


- Among the records above, which one has the highest energy of formation?
  PuZnGe2